Material: ScCuTe2
Method: DFT, GGA-PBE
State: relaxed

a b c (Å): 9.0564 9.0564 9.0564
angles (deg): 24.03 24.03 24.03
Element x y z (fractional)
Sc: 0.0000 0.0000 0.0000
Cu: 0.5000 0.5000 0.5000
Te: 0.8930 0.8930 0.8930
Te: 0.1070 0.1070 0.1070

Calculated values
- Space-group type: R-3m
- Formation energy from raw total energies: 9 meV/atom
- Fermi-level density of states: 3.86 states/eV/f.u.

Material: ScCuTe2
Method: DFT, GGA-PBE
State: relaxed

a b c (Å): 6.2748 6.2748 6.2748
angles (deg): 142.39 142.39 54.25
Element x y z (fractional)
Sc: 0.7500 0.2500 0.5000
Te: 0.0000 0.0000 0.0000
Te: 0.2500 0.7500 0.5000
Cu: 0.5000 0.5000 0.0000

Calculated values
- Space-group type: I-4m2
- Formation energy from raw total energies: -369 meV/atom
- Fermi-level density of states: 1.37 states/eV/f.u.

Material: ScCu2Te
Method: DFT, GGA-PBE
State: relaxed

a b c (Å): 3.6320 3.6318 5.5895
angles (deg): 90.00 90.00 90.00
Element x y z (fractional)
Cu: 0.0000 0.0000 0.4828
Cu: 0.0000 0.0000 0.0172
Te: 0.5000 0.5000 0.7500
Sc: 0.5000 0.5000 0.2500

Calculated values
- E above lowest polymorph: 124 meV per atom
- Space-group type: P4/mmm
- Formation energy from raw total energies: -180 meV/atom
- Fermi-level density of states: 2.74 states/eV/f.u.

Material: ScCuTe2
Method: DFT, GGA-PBE
State: relaxed

a b c (Å): 8.4474 8.4474 8.4474
angles (deg): 29.32 29.32 29.32
Element x y z (fractional)
Sc: 0.5000 0.5000 0.5000
Cu: 0.0000 0.0000 0.0000
Te: 0.1007 0.1007 0.1007
Te: 0.8993 0.8993 0.8993

Calculated values
- Space-group type: R-3m
- Formation energy from raw total energies: -637 meV/atom
- Fermi-level density of states: 0.00 states/eV/f.u.

Material: ScCuTe2
Method: DFT, GGA-PBE
State: relaxed

a b c (Å): 4.0179 4.0179 7.2838
angles (deg): 73.99 73.99 60.00
Element x y z (fractional)
Sc: 0.5024 0.5024 0.4928
Te: 0.0779 0.0779 0.7662
Te: 0.2569 0.2569 0.2292
Cu: 0.6627 0.6627 0.0118

Calculated values
- Space-group type: R3m
- Formation energy from raw total energies: -596 meV/atom
- Fermi-level density of states: 0.32 states/eV/f.u.

Material: Sc2CuTe
Method: DFT, GGA-PBE
State: relaxed

a b c (Å): 5.1909 5.1909 5.1909
angles (deg): 129.47 129.68 74.09
Element x y z (fractional)
Sc: 0.9999 0.9999 0.0000
Sc: 0.5001 0.5001 0.0000
Te: 0.7500 0.2500 0.5000
Cu: 0.2500 0.7500 0.5000

Calculated values
- E above lowest polymorph: 169 meV per atom
- Space-group type: Immm
- Formation energy from raw total energies: -441 meV/atom
- Fermi-level density of states: 2.51 states/eV/f.u.

Material: ScCu2Te
Method: DFT, GGA-PBE
State: relaxed

a b c (Å): 5.2322 5.2322 5.2322
angles (deg): 134.62 134.60 66.14
Element x y z (fractional)
Sc: 0.7500 0.2500 0.5000
Te: 0.2500 0.7500 0.5000
Cu: 0.0000 0.0000 0.0000
Cu: 0.5000 0.5000 0.0000

Calculated values
- E above lowest polymorph: 133 meV per atom
- Space-group type: I4/mmm
- Formation energy from raw total energies: -171 meV/atom
- Fermi-level density of states: 1.93 states/eV/f.u.

Material: Sc3Cu5Te12
Method: DFT, GGA-PBE
State: relaxed

a b c (Å): 14.1191 14.1191 14.1191
angles (deg): 109.47 109.47 109.47
Element x y z (fractional)
Cu: 0.5000 0.0000 0.5000
Cu: 0.0000 0.5000 0.5000
Cu: 0.6250 0.8750 0.2500
Cu: 0.8750 0.2500 0.6250
Cu: 0.7500 0.1250 0.8750
Cu: 0.2500 0.3750 0.6250
Cu: 0.5000 0.5000 0.5000
Cu: 0.7500 0.6250 0.3750
Cu: 0.8750 0.6250 0.7500
Cu: 0.3750 0.1250 0.7500
Cu: 0.3750 0.2500 0.1250
Cu: 0.0000 0.0000 0.0000
Cu: 0.5000 0.0000 0.0000
Cu: 0.5000 0.5000 0.0000
Cu: 0.1250 0.3750 0.2500
Cu: 0.2500 0.8750 0.1250
Cu: 0.1250 0.7500 0.3750
Cu: 0.0000 0.5000 0.0000
Cu: 0.0000 0.0000 0.5000
Cu: 0.6250 0.7500 0.8750
Te: 0.3252 0.5407 0.4133
Te: 0.4119 0.1274 0.5867
Te: 0.4133 0.0407 0.3252
Te: 0.3252 0.7846 0.4119
Te: 0.9593 0.3726 0.2846
Te: 0.7154 0.5881 0.1748
Te: 0.0407 0.4133 0.8252
Te: 0.0881 0.1748 0.2154
Te: 0.1748 0.0881 0.7154
Te: 0.3726 0.9593 0.7846
Te: 0.5867 0.6274 0.4119
Te: 0.4593 0.7846 0.8726
Te: 0.9133 0.8252 0.5407
Te: 0.9119 0.0867 0.6274
Te: 0.0407 0.6274 0.7154
Te: 0.9119 0.8252 0.7846
Te: 0.8726 0.2846 0.4593
Te: 0.0867 0.9119 0.1274
Te: 0.5407 0.3252 0.9133
Te: 0.4593 0.6748 0.0867
Te: 0.8252 0.9119 0.2846
Te: 0.6274 0.0407 0.2154
Te: 0.2846 0.8726 0.9593
Te: 0.6274 0.5867 0.9119
Te: 0.8252 0.9133 0.0407
Te: 0.4119 0.2846 0.3252
Te: 0.0867 0.1748 0.4593
Te: 0.7846 0.3252 0.9119
Te: 0.5867 0.9593 0.6748
Te: 0.1748 0.0867 0.9593
Te: 0.1274 0.4119 0.0867
Te: 0.1274 0.7154 0.5407
Te: 0.4133 0.3726 0.5881
Te: 0.3726 0.4133 0.0881
Te: 0.6748 0.2154 0.5881
Te: 0.5881 0.7154 0.6748
Te: 0.9593 0.5867 0.1748
Te: 0.7846 0.4593 0.3726
Te: 0.2154 0.5407 0.6274
Te: 0.5881 0.8726 0.4133
Te: 0.8726 0.5881 0.9133
Te: 0.0881 0.9133 0.3726
Te: 0.2154 0.6748 0.0881
Te: 0.2846 0.4119 0.8252
Te: 0.5407 0.2154 0.1274
Te: 0.6748 0.4593 0.5867
Te: 0.7154 0.1274 0.0407
Te: 0.9133 0.0881 0.8726
Sc: 0.2500 0.6250 0.8750
Sc: 0.2500 0.1250 0.3750
Sc: 0.7500 0.3750 0.1250
Sc: 0.8750 0.1250 0.2500
Sc: 0.6250 0.3750 0.7500
Sc: 0.3750 0.7500 0.6250
Sc: 0.7500 0.8750 0.6250
Sc: 0.1250 0.8750 0.7500
Sc: 0.1250 0.2500 0.8750
Sc: 0.3750 0.6250 0.2500
Sc: 0.8750 0.7500 0.1250
Sc: 0.6250 0.2500 0.3750

Calculated values
- Space-group type: Ia-3d
- Formation energy from raw total energies: -336 meV/atom
- Fermi-level density of states: 13.64 states/eV/f.u.

Material: Sc2CuTe2
Method: DFT, GGA-PBE
State: relaxed

a b c (Å): 7.7266 7.7266 3.7868
angles (deg): 90.00 90.00 90.00
Element x y z (fractional)
Sc: 0.1454 0.6454 0.5000
Sc: 0.3546 0.1454 0.5000
Sc: 0.6454 0.8546 0.5000
Sc: 0.8546 0.3546 0.5000
Te: 0.8438 0.6562 0.0000
Te: 0.3438 0.8438 0.0000
Te: 0.6562 0.1562 0.0000
Te: 0.1562 0.3438 0.0000
Cu: 0.0000 0.0000 0.0000
Cu: 0.5000 0.5000 0.0000

Calculated values
- E above lowest polymorph: 54 meV per atom
- Space-group type: P4/mbm
- Formation energy from raw total energies: -606 meV/atom
- Fermi-level density of states: 2.86 states/eV/f.u.

Material: Sc8CuTe3
Method: DFT, GGA-PBE
State: relaxed

a b c (Å): 3.8508 10.7554 20.1857
angles (deg): 89.76 90.00 90.00
Element x y z (fractional)
Te: 0.5000 0.0384 0.2630
Te: 0.5000 0.4617 0.7661
Te: 0.0000 0.9649 0.7386
Te: 0.0000 0.5387 0.2364
Te: 0.0000 0.2743 0.6248
Te: 0.0000 0.2286 0.1246
Te: 0.5000 0.7281 0.3733
Te: 0.5000 0.6419 0.5729
Te: 0.5000 0.7732 0.8762
Sc: 0.0000 0.3911 0.0066
Sc: 0.5000 0.6115 0.9946
Sc: 0.0000 0.9637 0.1552
Sc: 0.0000 0.2463 0.7705
Sc: 0.5000 0.0378 0.8456
Sc: 0.5000 0.4611 0.3431
Sc: 0.5000 0.7475 0.7314
Sc: 0.5000 0.7562 0.2293
Sc: 0.0000 0.6045 0.4646
Sc: 0.5000 0.1783 0.3924
Sc: 0.0000 0.8383 0.6089
Sc: 0.0000 0.5664 0.8639
Sc: 0.0000 0.5294 0.6627
Sc: 0.0000 0.1085 0.5085
Sc: 0.0000 0.6835 0.1080
Sc: 0.5000 0.3165 0.8935
Sc: 0.0000 0.8790 0.9773
Sc: 0.5000 0.8907 0.4909
Sc: 0.5000 0.0659 0.6388
Sc: 0.5000 0.3711 0.5229
Sc: 0.5000 0.4359 0.1380
Sc: 0.0000 0.2551 0.2688
Sc: 0.5000 0.1227 0.0237
Sc: 0.0000 0.9363 0.3618
Cu: 0.0000 0.3526 0.4215
Cu: 0.5000 0.8578 0.0769
Cu: 0.0000 0.1426 0.9243

Calculated values
- Space-group type: Pm
- Formation energy from raw total energies: -656 meV/atom
- Fermi-level density of states: 12.10 states/eV/f.u.

Material: ScCuTe3
Method: DFT, GGA-PBE
State: relaxed

a b c (Å): 6.6490 9.4151 9.4151
angles (deg): 73.93 74.82 74.82
Element x y z (fractional)
Te: 0.9818 0.3617 0.8851
Te: 0.3040 0.1854 0.0555
Te: 0.5149 0.4956 0.7434
Te: 0.9851 0.2566 0.5044
Te: 0.8040 0.0555 0.1854
Te: 0.4818 0.8851 0.3617
Te: 0.0149 0.7434 0.4956
Te: 0.1960 0.9445 0.8146
Te: 0.4851 0.5044 0.2566
Te: 0.0182 0.6383 0.1149
Te: 0.5182 0.1149 0.6383
Te: 0.6960 0.8146 0.9445
Sc: 0.2500 0.4275 0.5725
Sc: 0.7500 0.5725 0.4275
Sc: 0.2500 0.8542 0.1458
Sc: 0.7500 0.1458 0.8542
Cu: 0.7186 0.2499 0.3522
Cu: 0.2814 0.7501 0.6478
Cu: 0.7814 0.6478 0.7501
Cu: 0.2186 0.3522 0.2499

Calculated values
- E above lowest polymorph: 0 meV per atom
- Space-group type: C2/c
- Formation energy from raw total energies: -563 meV/atom
- Fermi-level density of states: 0.33 states/eV/f.u.

Material: ScCuTe
Method: DFT, GGA-PBE
State: relaxed

a b c (Å): 4.1761 4.1761 4.1408
angles (deg): 90.00 90.00 120.00
Element x y z (fractional)
Sc: 0.6667 0.3333 0.2742
Cu: 0.0000 0.0000 0.9935
Te: 0.3333 0.6667 0.7324

Calculated values
- Space-group type: P3m1
- Formation energy from raw total energies: -502 meV/atom
- Fermi-level density of states: 0.33 states/eV/f.u.

Material: Sc2CuTe
Method: DFT, GGA-PBE
State: relaxed

a b c (Å): 3.9638 3.9187 5.7203
angles (deg): 70.00 90.00 90.00
Element x y z (fractional)
Te: 0.0000 0.7038 0.4672
Cu: 0.5000 0.5317 0.8121
Sc: 0.0000 0.9813 0.9122
Sc: 0.5000 0.2832 0.3085

Calculated values
- E above lowest polymorph: 0 meV per atom
- Space-group type: Amm2
- Formation energy from raw total energies: -610 meV/atom
- Fermi-level density of states: 2.78 states/eV/f.u.

Material: Sc2CuTe
Method: DFT, GGA-PBE
State: relaxed

a b c (Å): 4.9018 4.9018 4.9018
angles (deg): 60.00 60.00 60.00
Element x y z (fractional)
Cu: 0.5000 0.5000 0.5000
Sc: 0.0000 0.0000 0.0000
Sc: 0.2500 0.2500 0.2500
Te: 0.7500 0.7500 0.7500

Calculated values
- E above lowest polymorph: 659 meV per atom
- Space-group type: F-43m
- Formation energy from raw total energies: 49 meV/atom
- Fermi-level density of states: 4.94 states/eV/f.u.

Material: ScCuTe2
Method: DFT, GGA-PBE
State: relaxed

a b c (Å): 5.0877 5.0877 5.0877
angles (deg): 60.00 60.00 60.00
Element x y z (fractional)
Te: 0.7500 0.7500 0.7500
Te: 0.0000 0.0000 0.0000
Sc: 0.2500 0.2500 0.2500
Cu: 0.5000 0.5000 0.5000

Calculated values
- Space-group type: F-43m
- Formation energy from raw total energies: 1 meV/atom
- Fermi-level density of states: 2.26 states/eV/f.u.

Material: ScCu2Te
Method: DFT, GGA-PBE
State: relaxed

a b c (Å): 3.6338 3.5765 6.1901
angles (deg): 75.51 90.00 90.00
Element x y z (fractional)
Cu: 0.5000 0.2037 0.2086
Cu: 0.0000 0.7691 0.0705
Sc: 0.0000 0.5624 0.4993
Te: 0.5000 0.9648 0.7215

Calculated values
- E above lowest polymorph: 86 meV per atom
- Space-group type: Pm
- Formation energy from raw total energies: -218 meV/atom
- Fermi-level density of states: 1.76 states/eV/f.u.

Material: Sc2CuTe
Method: DFT, GGA-PBE
State: relaxed

a b c (Å): 3.8839 3.8849 5.8479
angles (deg): 90.00 90.00 90.00
Element x y z (fractional)
Sc: 0.5000 0.5000 0.2772
Sc: 0.0000 0.0000 0.9471
Cu: 0.5000 0.5000 0.8224
Te: 0.0000 0.0000 0.4533

Calculated values
- E above lowest polymorph: 109 meV per atom
- Space-group type: P4mm
- Formation energy from raw total energies: -501 meV/atom
- Fermi-level density of states: 2.37 states/eV/f.u.

Material: ScCuTe2
Method: DFT, GGA-PBE
State: relaxed

a b c (Å): 5.3291 5.3291 5.3291
angles (deg): 134.25 118.75 79.70
Element x y z (fractional)
Cu: 0.7500 0.2500 0.5000
Sc: 0.2500 0.7500 0.5000
Te: 0.9559 0.9559 0.0000
Te: 0.5441 0.5441 0.0000

Calculated values
- Space-group type: Immm
- Formation energy from raw total energies: -374 meV/atom
- Fermi-level density of states: 2.38 states/eV/f.u.

Material: ScCu2Te
Method: DFT, GGA-PBE
State: relaxed

a b c (Å): 4.6807 4.6807 4.6807
angles (deg): 60.00 60.00 60.00
Element x y z (fractional)
Cu: 0.2500 0.2500 0.2500
Cu: 0.7500 0.7500 0.7500
Sc: 0.0000 0.0000 0.0000
Te: 0.5000 0.5000 0.5000

Calculated values
- E above lowest polymorph: 260 meV per atom
- Space-group type: Fm-3m
- Formation energy from raw total energies: -44 meV/atom
- Fermi-level density of states: 3.34 states/eV/f.u.

Material: Sc4CuTe
Method: DFT, GGA-PBE
State: relaxed

a b c (Å): 5.7359 6.0297 8.1281
angles (deg): 90.00 109.79 90.00
Element x y z (fractional)
Sc: 0.0104 0.0026 0.3028
Sc: 0.0104 0.4974 0.3028
Sc: 0.3842 0.7500 0.0879
Sc: 0.6158 0.2500 0.9121
Sc: 0.9896 0.5026 0.6972
Sc: 0.9896 0.9974 0.6972
Sc: 0.4290 0.7500 0.6159
Sc: 0.5710 0.2500 0.3841
Cu: 0.2948 0.2500 0.5842
Cu: 0.7052 0.7500 0.4158
Te: 0.8088 0.7500 0.9609
Te: 0.1912 0.2500 0.0391

Calculated values
- E above lowest polymorph: 0 meV per atom
- Space-group type: P2_1/m
- Formation energy from raw total energies: -431 meV/atom
- Fermi-level density of states: 6.81 states/eV/f.u.

Material: ScCuTe2
Method: DFT, GGA-PBE
State: relaxed

a b c (Å): 4.1997 4.2133 7.2250
angles (deg): 54.12 90.00 90.00
Element x y z (fractional)
Te: 0.0000 0.2055 0.8753
Te: 0.5000 0.2039 0.3277
Cu: 0.0000 0.3070 0.4883
Sc: 0.5000 0.7836 0.8087

Calculated values
- Space-group type: Pm
- Formation energy from raw total energies: -666 meV/atom
- Fermi-level density of states: 0.72 states/eV/f.u.

Material: ScCuTe2
Method: DFT, GGA-PBE
State: relaxed

a b c (Å): 8.0128 8.0128 8.0128
angles (deg): 152.03 152.88 39.35
Element x y z (fractional)
Cu: 0.4703 0.4703 0.0000
Te: 0.9744 0.9744 0.0000
Te: 0.7376 0.2376 0.5000
Sc: 0.3177 0.8177 0.5000

Calculated values
- Space-group type: Imm2
- Formation energy from raw total energies: -623 meV/atom
- Fermi-level density of states: 0.64 states/eV/f.u.

Record order is preserved below.
Uncorrected energy: -4.168 -4.547 -4.597 -4.814 -4.774 -5.417 -4.587 -4.194 -5.215 -6.003 -4.534 -5.025 -5.585 -4.926 -4.176 -4.635 -5.476 -4.551 -4.461 -5.858 -4.844 -4.801 eV per atom
Record order is preserved below.
Total magnetic moment: 0.000 0.000 0.000 0.000 0.000 0.271 0.000 0.000 0.000 0.000 0.000 0.000 0.000 0.001 0.000 0.000 0.000 0.000 0.000 0.000 0.000 0.000 μB/atom